[1]
# PBE Pr2TlI6, optimized geometry
data_Pr2TlI6
_symmetry_space_group_name_H-M 'P 1'
_symmetry_Int_Tables_number 1
_symmetry_space_group_name_Hall 'P 1'
_cell_length_a 9.808
_cell_length_b 9.808
_cell_length_c 9.808
_cell_angle_alpha 46.53
_cell_angle_beta 46.53
_cell_angle_gamma 46.53
loop_
_atom_site_label
_atom_site_type_symbol
_atom_site_fract_x
_atom_site_fract_y
_atom_site_fract_z
Pr1 Pr 0.169 0.169 0.169
Pr2 Pr 0.831 0.831 0.831
Tl1 Tl 0.000 0.000 0.000
I1 I 0.098 0.764 0.424
I2 I 0.236 0.576 0.902
I3 I 0.424 0.098 0.764
I4 I 0.576 0.902 0.236
I5 I 0.764 0.424 0.098
I6 I 0.902 0.236 0.576
# Space-group type: R-3, No. 148
# E_form (uncorrected) (eV per atom): -1.18

[2]
# PBE Ho3Tm4In, optimized geometry
data_Ho3Tm4In
_symmetry_space_group_name_H-M 'P 1'
_symmetry_Int_Tables_number 1
_symmetry_space_group_name_Hall 'P 1'
_cell_length_a 11.086
_cell_length_b 6.929
_cell_length_c 6.087
_cell_angle_alpha 90.00
_cell_angle_beta 90.00
_cell_angle_gamma 90.00
loop_
_atom_site_label
_atom_site_type_symbol
_atom_site_fract_x
_atom_site_fract_y
_atom_site_fract_z
Ho1 Ho 0.000 0.129 0.000
Ho2 Ho 0.242 0.117 0.339
Ho3 Ho 0.258 0.883 0.839
Ho4 Ho 0.500 0.871 0.500
Ho5 Ho 0.742 0.883 0.839
Ho6 Ho 0.758 0.117 0.339
Tm1 Tm 0.000 0.375 0.531
Tm2 Tm 0.000 0.630 0.008
Tm3 Tm 0.241 0.625 0.357
Tm4 Tm 0.259 0.375 0.857
Tm5 Tm 0.500 0.370 0.508
Tm6 Tm 0.500 0.625 0.031
Tm7 Tm 0.741 0.375 0.857
Tm8 Tm 0.759 0.625 0.357
In1 In 0.000 0.873 0.517
In2 In 0.500 0.127 0.017
# Energy relative to the elements (meV/atom): -112
# Space-group type: Pmn2_1, No. 31

[3]
# PBE SmHo2Zn6, optimized geometry
data_SmHo2Zn6
_symmetry_space_group_name_H-M 'P 1'
_symmetry_Int_Tables_number 1
_symmetry_space_group_name_Hall 'P 1'
_cell_length_a 7.776
_cell_length_b 7.776
_cell_length_c 3.514
_cell_angle_alpha 90.00
_cell_angle_beta 90.00
_cell_angle_gamma 120.00
loop_
_atom_site_label
_atom_site_type_symbol
_atom_site_fract_x
_atom_site_fract_y
_atom_site_fract_z
Sm1 Sm 0.000 0.000 0.000
Ho1 Ho 0.333 0.667 0.000
Ho2 Ho 0.667 0.333 0.000
Zn1 Zn 0.000 0.336 0.500
Zn2 Zn 0.000 0.664 0.500
Zn3 Zn 0.336 0.000 0.500
Zn4 Zn 0.336 0.336 0.500
Zn5 Zn 0.664 0.000 0.500
Zn6 Zn 0.664 0.664 0.500
# Energy relative to the elements (meV/atom): -373
# Space-group type: P6/mmm, No. 191

[4]
# PBE HgSe, optimized geometry
data_HgSe
_symmetry_space_group_name_H-M 'P 1'
_symmetry_Int_Tables_number 1
_symmetry_space_group_name_Hall 'P 1'
_cell_length_a 10.868
_cell_length_b 10.868
_cell_length_c 4.329
_cell_angle_alpha 90.00
_cell_angle_beta 90.00
_cell_angle_gamma 120.00
loop_
_atom_site_label
_atom_site_type_symbol
_atom_site_fract_x
_atom_site_fract_y
_atom_site_fract_z
Hg1 Hg 0.062 0.700 0.250
Hg2 Hg 0.300 0.362 0.250
Hg3 Hg 0.362 0.062 0.750
Hg4 Hg 0.638 0.938 0.250
Hg5 Hg 0.700 0.638 0.750
Hg6 Hg 0.938 0.300 0.750
Se1 Se 0.096 0.421 0.250
Se2 Se 0.326 0.904 0.250
Se3 Se 0.421 0.326 0.750
Se4 Se 0.579 0.674 0.250
Se5 Se 0.674 0.096 0.750
Se6 Se 0.904 0.579 0.750
# Space-group type: P6_3/m, No. 176
# E_form (uncorrected) (eV per atom): -0.16

What is the formula in the third record?
SmHo2Zn6

Which formula does entry 3 have?
SmHo2Zn6

Number 4 is which compound?
HgSe